This record from the Alexandria database describes a relaxed structure of ZnCoH2. The functional is PBE-GGA.

Summary:
Space-group type   Pnma (62)
E above lowest polymorph   55.1 meV/atom
Calculated density   7.19 g cm⁻³
Total moment   0.0 μB/f.u.

Cell lengths 5.2529, 4.4260, 5.0179 Å; angles 90.00, 90.00, 90.00 degrees
Last column: nearest neighbours and their distance in Å.
Positions (direct):
1 Zn 0.6194 0.7500 0.0649  4 H 1.92-2.11
2 H 0.1098 0.5247 0.8464  2 Co 1.68-1.73
3 Co 0.8793 0.2500 0.8854  4 H 1.68-1.73
4 H 0.8902 0.0247 0.1536  2 Co 1.68-1.73
5 Zn 0.8806 0.7500 0.5649  4 H 1.92-2.11
6 H 0.1098 0.9753 0.8464  2 Co 1.68-1.73
7 H 0.8902 0.4753 0.1536  2 Co 1.68-1.73
8 Zn 0.3806 0.2500 0.9351  4 H 1.92-2.11
9 Zn 0.1194 0.2500 0.4351  4 H 1.92-2.11
10 H 0.6098 0.0247 0.6536  2 Co 1.68-1.73
11 H 0.3902 0.9753 0.3464  2 Co 1.68-1.73
12 Co 0.3793 0.7500 0.6146  4 H 1.68-1.73
13 H 0.6098 0.4753 0.6536  2 Co 1.68-1.73
14 Co 0.1207 0.7500 0.1146  4 H 1.68-1.73
15 Co 0.6207 0.2500 0.3854  4 H 1.68-1.73
16 H 0.3902 0.5247 0.3464  2 Co 1.68-1.73